[1]
A plane-wave DFT calculation with PBE was carried out for crystalline CaZn2Pb at its relaxed geometry.

The structure in CIF format:
```
data_CaZn2Pb
_cell_length_a 7.202
_cell_length_b 7.202
_cell_length_c 7.202
_cell_angle_alpha 90.00
_cell_angle_beta 90.00
_cell_angle_gamma 90.00
_symmetry_space_group_name_H-M 'F -4 3 m'
_symmetry_Int_Tables_number 216
_symmetry_space_group_name_Hall 'F -4 2 3'
loop_
_atom_site_label
_atom_site_type_symbol
_atom_site_fract_x
_atom_site_fract_y
_atom_site_fract_z
Ca1 Ca 0.000 0.000 0.000
Zn1 Zn 0.000 0.000 0.500
Zn2 Zn 0.250 0.250 0.750
Pb1 Pb 0.250 0.250 0.250
```

Values from the calculation:
Final energy = -8.71 eV per formula unit
DOS at the Fermi energy = 0.74 states/eV per cell
Energy relative to the elements = -43.5 kJ/mol of formula units

[2]
A plane-wave DFT calculation with PBE was carried out for crystalline CaZnPb2 at its relaxed geometry.

The structure in CIF format:
```
data_CaZnPb2
_cell_length_a 4.649
_cell_length_b 4.649
_cell_length_c 10.008
_cell_angle_alpha 90.00
_cell_angle_beta 90.00
_cell_angle_gamma 90.00
_symmetry_space_group_name_H-M 'I -4 m 2'
_symmetry_Int_Tables_number 119
_symmetry_space_group_name_Hall 'I -4 -2'
loop_
_atom_site_label
_atom_site_type_symbol
_atom_site_fract_x
_atom_site_fract_y
_atom_site_fract_z
Ca1 Ca 0.000 0.000 0.000
Zn1 Zn 0.000 0.500 0.250
Pb1 Pb 0.000 0.000 0.500
Pb2 Pb 0.000 0.500 0.750
```

Values from the calculation:
Final energy = -11.45 eV per formula unit
DOS at the Fermi energy = 3.40 states/eV per cell
Energy relative to the elements = -73.5 kJ/mol of formula units

[3]
A plane-wave DFT calculation with PBE was carried out for crystalline CaZn2Pb at its relaxed geometry.

The structure in CIF format:
```
data_CaZn2Pb
_cell_length_a 4.746
_cell_length_b 4.746
_cell_length_c 8.307
_cell_angle_alpha 90.00
_cell_angle_beta 90.00
_cell_angle_gamma 90.00
_symmetry_space_group_name_H-M 'I 4/m m m'
_symmetry_Int_Tables_number 139
_symmetry_space_group_name_Hall '-I 4 2'
loop_
_atom_site_label
_atom_site_type_symbol
_atom_site_fract_x
_atom_site_fract_y
_atom_site_fract_z
Ca1 Ca 0.000 0.000 0.000
Zn1 Zn 0.000 0.500 0.250
Pb1 Pb 0.000 0.000 0.500
```

Values from the calculation:
Final energy = -8.85 eV per formula unit
DOS at the Fermi energy = 3.26 states/eV per cell
Energy relative to the elements = -57.2 kJ/mol of formula units